Entry P
# LaCu3Re

LaCu3Re after structural relaxation (PBE-GGA, Alexandria).

Calculated values
- Space-group type: Pm-3m
- Calculated density: 8.2 g/cm3

Cell: 4.7127 4.7127 4.7127 Å, 90.00 90.00 90.00°
With the nearest neighbours (Å) after each atom.
Fractional coordinates of all 5 atoms:
Re 0.0000 0.0000 0.0000  6 Cu 2.36
Cu 0.0000 0.0000 0.5000  2 Re 2.36
Cu 0.0000 0.5000 0.0000  2 Re 2.36
Cu 0.5000 0.0000 0.0000  2 Re 2.36
La 0.5000 0.5000 0.5000  12 Cu 3.33


Entry Q
# LaCu3Re

LaCu3Re after structural relaxation (PBE-GGA, Alexandria).

Calculated values
- Space-group type: Pm-3m
- Calculated density: 7.1 g/cm3

Cell: 4.9377 4.9377 4.9377 Å, 90.00 90.00 90.00°
With the nearest neighbours (Å) after each atom.
Fractional coordinates of all 5 atoms:
Re 0.5000 0.5000 0.5000  12 Cu 3.49
Cu 0.0000 0.0000 0.5000  2 La 2.47
Cu 0.0000 0.5000 0.0000  2 La 2.47
Cu 0.5000 0.0000 0.0000  2 La 2.47
La 0.0000 0.0000 0.0000  6 Cu 2.47


Which one sits at the bottom of the stability order? entry Q does.


Entry P
# La2Cu2Rh

La2Cu2Rh after structural relaxation (PBE-GGA, Alexandria).

Calculated values
- Space-group type: C2/m
- Calculated density: 7.3 g/cm3

Cell: 4.0848 5.7986 10.5877 Å, 87.07 78.88 69.38°
With the nearest neighbours (Å) after each atom.
Fractional coordinates of all 10 atoms:
La 0.0836 0.7138 0.1189  2 Rh 2.92, 6 Cu 3.08-3.22
La 0.9164 0.2862 0.8811  2 Rh 2.92, 6 Cu 3.08-3.22
La 0.3001 0.7602 0.6396  2 Rh 2.96, 5 Cu 3.09-3.20
La 0.6999 0.2398 0.3604  2 Rh 2.96, 5 Cu 3.09-3.20
Rh 0.4183 0.8564 0.3069  3 Cu 2.59-2.61
Rh 0.5817 0.1436 0.6931  3 Cu 2.59-2.61
Cu 0.3779 0.1383 0.1060  1 Rh 2.61, 1 Cu 2.64
Cu 0.9578 0.6639 0.4206  1 Cu 2.45, 2 Rh 2.59
Cu 0.6221 0.8617 0.8940  1 Rh 2.61, 1 Cu 2.64
Cu 0.0422 0.3361 0.5794  1 Cu 2.45, 2 Rh 2.59


Entry Q
# La2Cu2Rh

La2Cu2Rh after structural relaxation (PBE-GGA, Alexandria).

Calculated values
- Space-group type: P4/mbm
- Calculated density: 7.1 g/cm3

Cell: 7.8702 7.8702 3.8298 Å, 90.00 90.00 90.00°
With the nearest neighbours (Å) after each atom.
Fractional coordinates of all 10 atoms:
Cu 0.1094 0.6094 0.5000  1 Cu 2.44
Cu 0.6094 0.8906 0.5000  1 Cu 2.44
Cu 0.3906 0.1094 0.5000  1 Cu 2.44
Cu 0.8906 0.3906 0.5000  1 Cu 2.44
La 0.1868 0.3132 0.0000  2 Rh 2.87, 6 Cu 2.97-3.08
La 0.3132 0.8132 0.0000  2 Rh 2.87, 6 Cu 2.97-3.08
La 0.8132 0.6868 0.0000  2 Rh 2.87, 6 Cu 2.97-3.08
La 0.6868 0.1868 0.0000  2 Rh 2.87, 6 Cu 2.97-3.08
Rh 0.0000 0.0000 0.0000  4 La 2.87
Rh 0.5000 0.5000 0.0000  4 La 2.87


Entry R
# La2Cu2Rh

La2Cu2Rh after structural relaxation (PBE-GGA, Alexandria).

Calculated values
- Space-group type: I4/mmm
- Calculated density: 7.3 g/cm3

Cell: 5.5695 5.5695 5.4176 Å, 59.07 59.07 90.00°
With the nearest neighbours (Å) after each atom.
Fractional coordinates of all 5 atoms:
Cu 0.3471 0.3471 0.3058  1 Cu 2.28
Cu 0.6529 0.6529 0.6942  1 Cu 2.28
Rh 0.0000 0.0000 0.0000  2 Cu 2.58
La 0.2500 0.7500 0.5000  4 Cu 2.88
La 0.7500 0.2500 0.5000  4 Cu 2.88


Entry S
# La2Cu2Rh

La2Cu2Rh after structural relaxation (PBE-GGA, Alexandria).

Calculated values
- Space-group type: P4/mbm
- Calculated density: 7.8 g/cm3

Cell: 7.2572 7.2572 4.1063 Å, 90.00 90.00 90.00°
With the nearest neighbours (Å) after each atom.
Fractional coordinates of all 10 atoms:
Rh 0.5000 0.5000 0.0000  4 Cu 2.89
Rh 0.0000 0.0000 0.0000  4 Cu 2.89
La 0.3140 0.1860 0.5000  6 Cu 2.86-3.06
La 0.8140 0.3140 0.5000  6 Cu 2.86-3.06
La 0.6860 0.8140 0.5000  6 Cu 2.86-3.06
La 0.1860 0.6860 0.5000  6 Cu 2.86-3.06
Cu 0.6195 0.1195 0.0000  1 Cu 2.45
Cu 0.3805 0.8805 0.0000  1 Cu 2.45
Cu 0.1195 0.3805 0.0000  1 Cu 2.45
Cu 0.8805 0.6195 0.0000  1 Cu 2.45


Which one sits at the bottom of the stability order? entry Q does.


Entry P
# La4CuRh

La4CuRh after structural relaxation (PBE-GGA, Alexandria).

Calculated values
- Space-group type: F-43m
- Calculated density: 7.1 g/cm3

Cell: 6.2161 6.2161 6.2161 Å, 60.00 60.00 60.00°
With the nearest neighbours (Å) after each atom.
Fractional coordinates of all 6 atoms:
La 0.3759 0.3759 0.8722  6 La 3.08-3.13
La 0.8722 0.3759 0.3759  6 La 3.08-3.13
La 0.3759 0.8722 0.3759  6 La 3.08-3.13
La 0.3759 0.3759 0.3759  6 La 3.08-3.13
Cu 0.0000 0.0000 0.0000  12 La 3.65, 4 Rh 3.81
Rh 0.7500 0.7500 0.7500  12 La 3.64, 4 Cu 3.81


Entry Q
# La4CuRh

La4CuRh after structural relaxation (PBE-GGA, Alexandria).

Calculated values
- Space-group type: P2_1/m
- Calculated density: 6.7 g/cm3

Cell: 6.4859 7.2189 8.0181 Å, 90.00 108.51 90.00°
With the nearest neighbours (Å) after each atom.
Fractional coordinates of all 12 atoms:
La 0.5637 0.2500 0.3983  1 Rh 2.85, 1 Cu 2.97
La 0.0076 0.5024 0.7447  2 Rh 3.00, 2 Cu 3.02-3.04
La 0.9924 0.0024 0.2553  2 Rh 3.00, 2 Cu 3.02-3.04
La 0.4363 0.7500 0.6017  1 Rh 2.85, 1 Cu 2.97
La 0.0076 0.9976 0.7447  2 Rh 3.00, 2 Cu 3.02-3.04
La 0.5620 0.2500 0.8818  1 Rh 2.82, 1 Cu 3.01
La 0.4380 0.7500 0.1182  1 Rh 2.82, 1 Cu 3.01
La 0.9924 0.4976 0.2553  2 Rh 3.00, 2 Cu 3.02-3.04
Rh 0.7739 0.7500 0.4444  6 La 2.82-3.00
Rh 0.2261 0.2500 0.5556  6 La 2.82-3.00
Cu 0.7886 0.7500 0.9455  6 La 2.97-3.04
Cu 0.2114 0.2500 0.0545  6 La 2.97-3.04


Which one sits at the bottom of the stability order? entry P does.